Material: CaNiP
Method: DFT, SCAN
State: PBEsol geometry

The structure in POSCAR format:
```
CaNiP
1.0
3.772 0.000 0.000
0.000 3.772 0.000
-1.886 -1.886 3.844
P Ni Ca
1 1 1
direct
0.357 0.357 0.715
0.637 0.637 0.275
0.005 0.005 0.010
```

space-group type = No. 107
final energy = -36.76 eV per cell
DFT formation energy = -0.53 eV/f.u.
size of the total moment = 0.00 Bohr magnetons per cell